1.
This record from the Alexandria database describes crystalline Tl2InPb at its relaxed geometry. The functional is GGA-PBEsol.

Output
**Electronic total energy**: -24.35 eV for the cell shown

Cell: 3.778 5.521 10.710 Å, 90.00 90.00 90.00°
Space group Cmm2 (No. 35)
Asymmetric unit:
Tl1 0.000 0.000 0.000
Tl2 0.000 0.500 0.253
In1 0.000 0.500 0.757
Pb1 0.000 0.000 0.511


2.
This record from the Alexandria database describes crystalline TlIn2Pb at its relaxed geometry. The functional is GGA-PBEsol.

Output
**Electronic total energy**: -12.50 eV for the cell shown

Cell: 3.312 5.416 6.145 Å, 90.00 97.00 90.00°
Space group Pm (No. 6)
Asymmetric unit:
Tl1 0.000 0.000 0.000
In1 0.558 0.000 0.490
In2 0.781 0.500 0.264
Pb1 0.361 0.500 0.751


3.
This record from the Alexandria database describes crystalline TlInPb2 at its relaxed geometry. The functional is GGA-PBEsol.

Output
**Electronic total energy**: -53.93 eV for the cell shown

Cell: 7.652 7.652 7.652 Å, 90.00 90.00 90.00°
Space group Fm-3m (No. 225)
Asymmetric unit:
Tl1 0.000 0.000 0.000
In1 0.000 0.000 0.500
Pb1 0.250 0.250 0.250


4.
This record from the Alexandria database describes crystalline Tl2InPb at its relaxed geometry. The functional is GGA-PBEsol.

Output
**Electronic total energy**: -24.41 eV for the cell shown

Cell: 4.896 4.896 9.260 Å, 90.00 90.00 90.00°
Space group I-4m2 (No. 119)
Asymmetric unit:
Tl1 0.000 0.000 0.000
Tl2 0.000 0.500 0.250
In1 0.000 0.000 0.500
Pb1 0.000 0.500 0.750


5.
This record from the Alexandria database describes crystalline TlIn2Pb at its relaxed geometry. The functional is GGA-PBEsol.

Output
**Electronic total energy**: -25.07 eV for the cell shown

Cell: 4.978 4.978 8.758 Å, 90.00 90.00 90.00°
Space group I4/mmm (No. 139)
Asymmetric unit:
Tl1 0.000 0.000 0.000
In1 0.000 0.500 0.250
Pb1 0.000 0.000 0.500


6.
This record from the Alexandria database describes crystalline TlIn2Pb at its relaxed geometry. The functional is GGA-PBEsol.

Output
**Electronic total energy**: -25.07 eV for the cell shown

Cell: 4.801 4.801 9.406 Å, 90.00 90.00 90.00°
Space group I-4m2 (No. 119)
Asymmetric unit:
Tl1 0.000 0.000 0.000
In1 0.000 0.000 0.500
In2 0.000 0.500 0.250
Pb1 0.000 0.500 0.750


7.
This record from the Alexandria database describes crystalline TlInPb2 at its relaxed geometry. The functional is GGA-PBEsol.

Output
**Electronic total energy**: -26.98 eV for the cell shown

Cell: 3.685 5.554 11.054 Å, 90.00 90.00 90.00°
Space group Immm (No. 71)
Asymmetric unit:
Tl1 0.000 0.000 0.000
In1 0.000 0.000 0.500
Pb1 0.000 0.500 0.241


8.
This record from the Alexandria database describes crystalline TlIn4Pb at its relaxed geometry. The functional is GGA-PBEsol.

Output
**Electronic total energy**: -72.86 eV for the cell shown

Cell: 8.679 8.679 8.679 Å, 90.00 90.00 90.00°
Space group F-43m (No. 216)
Asymmetric unit:
Tl1 0.000 0.000 0.000
In1 0.125 0.125 0.375
Pb1 0.250 0.250 0.750


Which of these has the highest electronic total energy?
number 2


Which of these has the highest electronic total energy?
number 2